Record 1
Entry from the Alexandria database: a relaxed Rb2TmAuI6 crystal (GGA-PBE).

Cell lengths 8.4198, 8.5638, 8.8763 Å; angles 109.22, 109.50, 107.40 degrees
With the nearest neighbours (Å) after each atom.
Atoms (fractional coordinates):
Rb 0.0037 0.2845 0.2240  6 I 3.65-3.89
Rb 0.9963 0.7155 0.7760  6 I 3.65-3.89
Tm 0.5000 0.5000 0.0000  6 I 2.96-3.13
Au 0.5000 0.0000 0.5000  2 I 2.59
I 0.1271 0.3144 0.6709  1 Tm 2.96
I 0.3112 0.6986 0.1895  1 Au 2.59
I 0.3662 0.2036 0.0994  1 Tm 2.99
I 0.6338 0.7964 0.9006  1 Tm 2.99
I 0.6888 0.3014 0.8105  1 Au 2.59
I 0.8729 0.6856 0.3291  1 Tm 2.96

- V (Å³ per cell) = 506.0
- formation energy from raw total energies (meV per atom) = -1127
- total energy (eV/atom) = -3.025
- D(E_F) (states/eV/f.u.) = 0.0

Record 2
Entry from the Alexandria database: a relaxed Rb2VAuI6 crystal (GGA-PBE).

Cell lengths 8.2113, 8.2113, 8.2113 Å; angles 60.00, 60.00, 60.00 degrees
With the nearest neighbours (Å) after each atom.
Atoms (fractional coordinates):
Rb 0.2500 0.2500 0.2500  12 I 4.11
Rb 0.7500 0.7500 0.7500  12 I 4.11
V 0.0000 0.0000 0.0000  6 I 2.81
Au 0.5000 0.5000 0.5000  6 I 3.00
I 0.2417 0.2417 0.7583  1 V 2.81, 1 Au 3.00
I 0.2417 0.7583 0.2417  1 V 2.81, 1 Au 3.00
I 0.2417 0.7583 0.7583  1 V 2.81, 1 Au 3.00
I 0.7583 0.2417 0.2417  1 V 2.81, 1 Au 3.00
I 0.7583 0.2417 0.7583  1 V 2.81, 1 Au 3.00
I 0.7583 0.7583 0.2417  1 V 2.81, 1 Au 3.00

- V (Å³ per cell) = 391.5
- formation energy from raw total energies (meV per atom) = -679
- total energy (eV/atom) = -3.042
- D(E_F) (states/eV/f.u.) = 13.4

Copy entry 1 word for word.
Entry from the Alexandria database: a relaxed Rb2TmAuI6 crystal (GGA-PBE).

Cell lengths 8.4198, 8.5638, 8.8763 Å; angles 109.22, 109.50, 107.40 degrees
With the nearest neighbours (Å) after each atom.
Atoms (fractional coordinates):
Rb 0.0037 0.2845 0.2240  6 I 3.65-3.89
Rb 0.9963 0.7155 0.7760  6 I 3.65-3.89
Tm 0.5000 0.5000 0.0000  6 I 2.96-3.13
Au 0.5000 0.0000 0.5000  2 I 2.59
I 0.1271 0.3144 0.6709  1 Tm 2.96
I 0.3112 0.6986 0.1895  1 Au 2.59
I 0.3662 0.2036 0.0994  1 Tm 2.99
I 0.6338 0.7964 0.9006  1 Tm 2.99
I 0.6888 0.3014 0.8105  1 Au 2.59
I 0.8729 0.6856 0.3291  1 Tm 2.96

- V (Å³ per cell) = 506.0
- formation energy from raw total energies (meV per atom) = -1127
- total energy (eV/atom) = -3.025
- D(E_F) (states/eV/f.u.) = 0.0

> Which value of V does entry 1 give?

506.0 Å³ per cell

> D(E_F) of number 2 (Rb2VAuI6)?

13.4 states/eV/f.u.

> Among the records above, which one has the lowest V?

Rb2VAuI6